SmTh2Nb | PBE | optimized geometry

Structure (POSCAR):
```
SmTh2Nb
1.0
3.351 0.000 0.000
1.676 2.902 0.000
1.676 0.967 12.010
Th Sm Nb
2 1 1
direct
0.080 0.080 0.760
0.920 0.920 0.240
0.500 0.500 0.500
0.000 0.000 0.000
```

Output
crystal system = trigonal
spin magnetization = 0.00 μB per formula unit
VASP energy = -6.854 eV per atom
mass density = 10.055 g cm⁻³
ΔH_f (0 K) = 2.21 eV/f.u.